No. 1
Below is an optimized crystal structure of Tl3BiPb5, with properties calculated at the PBE level.

abc: 9.509 9.509 9.509
angles: 119.73 119.73 90.47
Fractional coordinates of all 18 atoms:
Tl (0.110, 0.610, 0.721)
Tl (0.250, 0.250, 0.000)
Tl (0.390, 0.110, 0.500)
Tl (0.610, 0.890, 0.500)
Tl (0.750, 0.750, 0.000)
Tl (0.890, 0.390, 0.279)
Bi (0.250, 0.750, 0.500)
Bi (0.750, 0.250, 0.500)
Pb (0.000, 0.000, 0.000)
Pb (0.066, 0.162, 0.500)
Pb (0.162, 0.662, 0.096)
Pb (0.338, 0.434, 0.500)
Pb (0.434, 0.934, 0.096)
Pb (0.500, 0.500, 0.000)
Pb (0.566, 0.066, 0.904)
Pb (0.662, 0.566, 0.500)
Pb (0.838, 0.338, 0.904)
Pb (0.934, 0.838, 0.500)

Summary:
SG: I4/mcm
Energy relative to the elements, meV/atom: 137


No. 2
Below is an optimized crystal structure of PrSmEr4, with properties calculated at the PBE level.

abc: 6.173 6.173 7.132
angles: 106.85 106.85 47.94
Fractional coordinates of all 6 atoms:
Pr (0.000, 0.000, 0.000)
Sm (0.000, 0.000, 0.500)
Er (0.332, 0.332, 0.665)
Er (0.333, 0.333, 0.167)
Er (0.667, 0.667, 0.833)
Er (0.668, 0.668, 0.335)

Summary:
SG: C2/m
Relative energy among the computed polymorphs, meV/atom: 0
Energy relative to the elements, meV/atom: 23


No. 3
Below is an optimized crystal structure of Ca2TbSnSe4, with properties calculated at the PBE level.

abc: 7.263 4.191 7.344
angles: 90.00 109.39 90.00
Fractional coordinates of all 8 atoms:
Ca (0.000, 0.000, 0.000)
Ca (0.000, 0.500, 0.500)
Tb (0.500, 0.000, 0.500)
Sn (0.500, 0.500, 0.000)
Se (0.250, 0.000, 0.743)
Se (0.253, 0.500, 0.256)
Se (0.747, 0.500, 0.744)
Se (0.750, 0.000, 0.257)

Summary:
SG: P2/m
Formation energy from raw total energies, meV/atom: -1502


No. 4
Below is an optimized crystal structure of LuHfZnCo, with properties calculated at the PBE level.

abc: 4.662 4.662 4.662
angles: 60.00 60.00 60.00
Fractional coordinates of all 4 atoms:
Lu (0.000, 0.000, 0.000)
Hf (0.500, 0.500, 0.500)
Zn (0.750, 0.750, 0.750)
Co (0.250, 0.250, 0.250)

Summary:
SG: F-43m
Energy relative to the elements, meV/atom: -220


No. 5
Below is an optimized crystal structure of TiCo, with properties calculated at the PBE level.

abc: 7.252 7.252 7.252
angles: 156.74 147.97 39.96
Fractional coordinates of all 6 atoms:
Ti (0.000, 0.000, 0.000)
Ti (0.324, 0.824, 0.500)
Ti (0.676, 0.176, 0.500)
Co (0.143, 0.643, 0.500)
Co (0.500, 0.500, 0.000)
Co (0.857, 0.357, 0.500)

Summary:
SG: Immm
Energy relative to the elements, meV/atom: -385


No. 6
Below is an optimized crystal structure of Ta2TcSb, with properties calculated at the PBE level.

abc: 9.022 9.022 9.022
angles: 20.00 20.00 20.00
Fractional coordinates of all 4 atoms:
Ta (0.000, 0.000, 0.000)
Ta (0.247, 0.247, 0.247)
Tc (0.508, 0.508, 0.508)
Sb (0.756, 0.756, 0.756)

Summary:
SG: R3m
Formation energy from raw total energies, meV/atom: 208